No. 1
This record from Alexandria describes a geometry-optimized YZrSb2 structure. The functional is GGA-PBE.

- VASP energy: -6.4191 eV per atom
- Volume: 401.1 Å³/cell
- Uncorrected formation energy: -2.42 eV per formula unit

Cell lengths 7.3750, 7.3750, 7.3750 Å; angles 90.00, 90.00, 90.00 degrees
Last column: nearest neighbours and their distance in Å.
Space group Fm-3m (No. 225)
Inequivalent atoms, fractional coordinates:
Y (0.0000, 0.0000, 0.0000) [4 per cell]  8 Sb 3.19
Zr (0.0000, 0.0000, 0.5000) [4 per cell]  8 Sb 3.19
Sb (0.2500, 0.2500, 0.2500) [8 per cell]  4 Zr 3.19, 4 Y 3.19



No. 2
This record from Alexandria describes a geometry-optimized YZr2Sb structure. The functional is GGA-PBE.

- VASP energy: -7.1762 eV per atom
- Volume: 197.3 Å³/cell
- Uncorrected formation energy: -1.02 eV per formula unit

Cell lengths 10.4025, 3.6874, 5.3403 Å; angles 90.00, 105.57, 90.00 degrees
Last column: nearest neighbours and their distance in Å.
Space group Cm (No. 8)
Inequivalent atoms, fractional coordinates:
Y (0.0000, 0.0000, 0.0000) [2 per cell]  3 Sb 3.17-3.25, 7 Zr 3.18-3.34
Zr (0.2328, 0.0000, 0.7176) [2 per cell]  4 Sb 3.13-3.37, 3 Zr 3.16-3.20, 3 Y 3.18-3.34
Zr (0.4789, 0.0000, 0.4764) [2 per cell]  3 Sb 3.01-3.33, 3 Zr 3.16-3.20, 4 Y 3.20-3.31
Sb (0.2484, 0.5000, 0.2524) [2 per cell]  7 Zr 3.01-3.37, 3 Y 3.17-3.25



Copy entry 2 word for word.
This record from Alexandria describes a geometry-optimized YZr2Sb structure. The functional is GGA-PBE.

- VASP energy: -7.1762 eV per atom
- Volume: 197.3 Å³/cell
- Uncorrected formation energy: -1.02 eV per formula unit

Cell lengths 10.4025, 3.6874, 5.3403 Å; angles 90.00, 105.57, 90.00 degrees
Last column: nearest neighbours and their distance in Å.
Space group Cm (No. 8)
Inequivalent atoms, fractional coordinates:
Y (0.0000, 0.0000, 0.0000) [2 per cell]  3 Sb 3.17-3.25, 7 Zr 3.18-3.34
Zr (0.2328, 0.0000, 0.7176) [2 per cell]  4 Sb 3.13-3.37, 3 Zr 3.16-3.20, 3 Y 3.18-3.34
Zr (0.4789, 0.0000, 0.4764) [2 per cell]  3 Sb 3.01-3.33, 3 Zr 3.16-3.20, 4 Y 3.20-3.31
Sb (0.2484, 0.5000, 0.2524) [2 per cell]  7 Zr 3.01-3.37, 3 Y 3.17-3.25



Which formula does entry 2 have? YZr2Sb



Copy entry 2 word for word.
This record from Alexandria describes a geometry-optimized YZr2Sb structure. The functional is GGA-PBE.

- VASP energy: -7.1762 eV per atom
- Volume: 197.3 Å³/cell
- Uncorrected formation energy: -1.02 eV per formula unit

Cell lengths 10.4025, 3.6874, 5.3403 Å; angles 90.00, 105.57, 90.00 degrees
Last column: nearest neighbours and their distance in Å.
Space group Cm (No. 8)
Inequivalent atoms, fractional coordinates:
Y (0.0000, 0.0000, 0.0000) [2 per cell]  3 Sb 3.17-3.25, 7 Zr 3.18-3.34
Zr (0.2328, 0.0000, 0.7176) [2 per cell]  4 Sb 3.13-3.37, 3 Zr 3.16-3.20, 3 Y 3.18-3.34
Zr (0.4789, 0.0000, 0.4764) [2 per cell]  3 Sb 3.01-3.33, 3 Zr 3.16-3.20, 4 Y 3.20-3.31
Sb (0.2484, 0.5000, 0.2524) [2 per cell]  7 Zr 3.01-3.37, 3 Y 3.17-3.25